1.
Na2MnBr5, optimized geometry, DFT PBE-GGA; relative energy among the computed polymorphs = 65 meV per atom; E_tot = -3.53 eV per atom; V = 272.0 Å³/f.u.; symmetry = Fmmm; spin magnetization = 4.0 Bohr magnetons per cell
1.0
0.0000 6.7251 6.8402
2.9567 0.0000 6.8402
2.9567 6.7251 0.0000
Na Mn Br
2 1 5
direct
0.1958 0.1958 0.8042 Na
0.8042 0.8042 0.1958 Na
0.5000 0.5000 0.5000 Mn
0.0000 0.0000 0.0000 Br
0.2432 0.4978 0.5022 Br
0.4978 0.2432 0.7568 Br
0.5022 0.7568 0.2432 Br
0.7568 0.5022 0.4978 Br

2.
EuMg2Zr, optimized geometry, DFT PBE-GGA; relative energy among the computed polymorphs = 72 meV per atom; E_tot = -5.38 eV per atom; DFT formation energy = 126 meV/atom; V = 102.7 Å³/f.u.; symmetry = P4/mmm; spin magnetization = 7.5 Bohr magnetons per cell
1.0
5.4343 0.0000 0.0000
0.0000 5.4343 0.0000
0.0000 0.0000 3.4768
Eu Mg Zr
1 2 1
direct
0.0000 0.0000 0.0000 Eu
0.0000 0.5000 0.5000 Mg
0.5000 0.0000 0.5000 Mg
0.5000 0.5000 0.0000 Zr

3.
IrPt2Br, optimized geometry, DFT PBE-GGA; relative energy among the computed polymorphs = 171 meV per atom; E_tot = -5.11 eV per atom; V = 69.8 Å³/f.u.; symmetry = P4/mmm; spin magnetization = 0.2 Bohr magnetons per cell
1.0
2.9278 0.0000 0.0000
0.0000 2.9278 0.0000
0.0000 0.0000 8.1412
Ir Pt Br
1 2 1
direct
0.0000 0.0000 0.0000 Ir
0.5000 0.5000 0.2174 Pt
0.5000 0.5000 0.7826 Pt
0.0000 0.0000 0.5000 Br

4.
CdSbIO2, optimized geometry, DFT PBE-GGA; E_tot = -3.74 eV per atom; V = 116.8 Å³/f.u.; symmetry = P4/mmm; spin magnetization = 0.0 Bohr magnetons per cell
1.0
4.1738 0.0000 0.0000
0.0000 4.1738 0.0000
0.0000 0.0000 6.7041
Cd Sb I O
1 1 1 2
direct
0.0000 0.0000 0.0000 Cd
0.5000 0.5000 0.5000 Sb
0.5000 0.5000 0.0000 I
0.0000 0.5000 0.5000 O
0.5000 0.0000 0.5000 O

5.
AcSm2Rh2, optimized geometry, DFT PBE-GGA; relative energy among the computed polymorphs = 0 meV per atom; E_tot = -6.27 eV per atom; DFT formation energy = -616 meV/atom; V = 139.4 Å³/f.u.; symmetry = P2_1/m; spin magnetization = 0.0 Bohr magnetons per cell
1.0
5.7325 0.0000 0.0000
0.0000 4.4933 0.0000
-1.3740 0.0000 10.8266
Ac Sm Rh
2 4 4
direct
0.0648 0.2500 0.2854 Ac
0.9352 0.7500 0.7146 Ac
0.2701 0.7500 0.0292 Sm
0.3812 0.2500 0.6128 Sm
0.6188 0.7500 0.3872 Sm
0.7299 0.2500 0.9708 Sm
0.1645 0.7500 0.4700 Rh
0.1974 0.2500 0.8665 Rh
0.8026 0.7500 0.1335 Rh
0.8355 0.2500 0.5300 Rh

6.
La8AsOs3I4, optimized geometry, DFT PBE-GGA; E_tot = -6.12 eV per atom; V = 524.2 Å³/f.u.; symmetry = R-3m; spin magnetization = 0.0 Bohr magnetons per cell
1.0
4.3183 2.4932 8.1149
-4.3183 2.4932 8.1149
0.0000 -4.9864 8.1149
La As Os I
8 1 3 4
direct
0.2099 0.7368 0.7368 La
0.2312 0.2312 0.2312 La
0.2632 0.2632 0.7901 La
0.2632 0.7901 0.2632 La
0.7368 0.2099 0.7368 La
0.7368 0.7368 0.2099 La
0.7688 0.7688 0.7688 La
0.7901 0.2632 0.2632 La
0.5000 0.5000 0.5000 As
0.0000 0.0000 0.5000 Os
0.0000 0.5000 0.0000 Os
0.5000 0.0000 0.0000 Os
0.0000 0.0000 0.0000 I
0.0000 0.5000 0.5000 I
0.5000 0.0000 0.5000 I
0.5000 0.5000 0.0000 I

7.
Ba2LiLa, optimized geometry, DFT PBE-GGA; relative energy among the computed polymorphs = 109 meV per atom; E_tot = -2.43 eV per atom; DFT formation energy = 238 meV/atom; V = 177.9 Å³/f.u.; symmetry = Pmmm; spin magnetization = 0.0 Bohr magnetons per cell
1.0
4.4405 0.0000 0.0000
0.0000 6.2204 0.0000
0.0000 0.0000 6.4393
Ba Li La
2 1 1
direct
0.0000 0.0000 0.0000 Ba
0.5000 0.0000 0.5000 Ba
0.0000 0.5000 0.5000 Li
0.5000 0.5000 0.0000 La

8.
Cs2UPbS4, optimized geometry, DFT PBE-GGA; E_tot = -5.32 eV per atom; V = 252.4 Å³/f.u.; symmetry = P2/m; spin magnetization = 2.0 Bohr magnetons per cell
1.0
7.4577 0.0000 0.0000
0.0000 4.2350 0.0000
-2.3984 0.0000 7.9919
Cs U Pb S
2 1 1 4
direct
0.0000 0.0000 0.0000 Cs
0.5000 0.5000 0.0000 Cs
0.0000 0.5000 0.5000 U
0.5000 0.0000 0.5000 Pb
0.2044 0.0000 0.6811 S
0.2391 0.5000 0.3136 S
0.7609 0.5000 0.6864 S
0.7956 0.0000 0.3189 S